Here is a relaxed structure of CaEr12Ni6 from Alexandria via LeMat-Bulk. Energies are from GGA-PBE.

Cell lengths 8.4873, 8.4873, 8.4873 Å; angles 109.47, 109.47, 109.47 degrees
Closest atoms and distances in Å follow each position.
Fractional positions:
Er 0.1866 0.6864 0.8730  3 Ni 2.61-2.85
Er 0.8134 0.3136 0.1270  3 Ni 2.61-2.85
Er 0.3136 0.5002 0.1866  3 Ni 2.61-2.85
Ca 0.0000 0.0000 0.0000  12 Er 3.58
Ni 0.5000 0.1229 0.6229  1 Ni 2.41, 2 Er 2.61
Er 0.6864 0.8730 0.1866  3 Ni 2.61-2.85
Er 0.4998 0.8134 0.6864  3 Ni 2.61-2.85
Ni 0.5000 0.8771 0.3771  1 Ni 2.41, 2 Er 2.61
Er 0.8134 0.6864 0.4998  3 Ni 2.61-2.85
Er 0.8730 0.1866 0.6864  3 Ni 2.61-2.85
Ni 0.6229 0.5000 0.1229  1 Ni 2.41, 2 Er 2.61
Er 0.1270 0.8134 0.3136  3 Ni 2.61-2.85
Ni 0.8771 0.3771 0.5000  1 Ni 2.41, 2 Er 2.61
Ni 0.3771 0.5000 0.8771  1 Ni 2.41, 2 Er 2.61
Er 0.1866 0.3136 0.5002  3 Ni 2.61-2.85
Ni 0.1229 0.6229 0.5000  1 Ni 2.41, 2 Er 2.61
Er 0.3136 0.1270 0.8134  3 Ni 2.61-2.85
Er 0.5002 0.1866 0.3136  3 Ni 2.61-2.85
Er 0.6864 0.4998 0.8134  3 Ni 2.61-2.85

---

Here is a relaxed structure of CaEr2Ni from Alexandria via LeMat-Bulk. Energies are from GGA-PBE.

Computed properties:
* energy above the lowest structure with this stoichiometry: 0.026 eV per atom

Cell lengths 3.9194, 3.9194, 9.4270 Å; angles 78.00, 78.00, 60.00 degrees
Closest atoms and distances in Å follow each position.
Fractional positions:
Ni 0.6663 0.6663 0.0010  6 Er 2.67
Er 0.0515 0.0515 0.8455  3 Ni 2.67
Er 0.2813 0.2813 0.1562  3 Ni 2.67
Ca 0.5009 0.5009 0.4973  6 Er 3.86-3.91, 6 Ca 3.92

---

Here is a relaxed structure of CaEr3Ni from Alexandria via LeMat-Bulk. Energies are from GGA-PBE.

Cell lengths 5.3275, 5.3275, 5.3275 Å; angles 90.00, 90.00, 90.00 degrees
Closest atoms and distances in Å follow each position.
Fractional positions:
Ca 0.5000 0.5000 0.5000  12 Er 3.77
Er 0.5000 0.0000 0.0000  2 Ni 2.66
Er 0.0000 0.0000 0.5000  2 Ni 2.66
Ni 0.0000 0.0000 0.0000  6 Er 2.66
Er 0.0000 0.5000 0.0000  2 Ni 2.66

---

Computed values of formation energy from the elements (unit: eV/atom) for the preceding records, in sequence: -0.259; -0.136; -0.072.
Computed values of calculated volume (unit: Å³/f.u.) for the preceding records, in sequence: 470.64; 121.75; 151.20.